{"formula": "RbVF3", "functional": "PBE with a Hubbard U", "state": "relaxed", "total_magnetization_mub_per_cell": 6.00, "dft_energy_ev_per_atom": -5.34, "sg": "C2/m", "lattice": [[17.3737, 0.0000, -1.2562], [6.7712, 1.6693, -3.8866], [-6.7712, 1.6693, 3.8866]], "species": ["Rb", "Rb", "F", "F", "F", "F", "F", "F", "V", "V"], "frac_coords": [[0.8758, 0.9855, 0.0145], [0.1242, 0.0145, 0.9855], [0.2237, 0.7387, 0.2613], [0.8579, 0.8291, 0.1709], [0.5025, 0.3601, 0.6399], [0.1421, 0.1709, 0.8291], [0.7763, 0.2613, 0.7387], [0.4975, 0.6399, 0.3601], [0.6565, 0.9466, 0.0534], [0.3435, 0.0534, 0.9466]]}